An optimized crystal structure of SrP2Os. Source: the Alexandria database, functional GGA-PBE.

Cell: 4.0704 4.0704 15.9312 Å, 90.00 90.00 120.00°
Atoms (fractional coordinates):
1 Sr 0.0000 0.0000 0.0000
2 Sr 0.3333 0.6667 0.6667
3 Sr 0.6667 0.3333 0.3333
4 P 0.0000 0.0000 0.2093
5 P 0.0000 0.0000 0.7907
6 P 0.3333 0.6667 0.4574
7 P 0.3333 0.6667 0.8760
8 P 0.6667 0.3333 0.1240
9 P 0.6667 0.3333 0.5426
10 Os 0.0000 0.0000 0.5000
11 Os 0.3333 0.6667 0.1667
12 Os 0.6667 0.3333 0.8333

Calculated values
* energy above the most stable polymorph in this dataset: 0 meV per atom
* E_form: -0.592 eV/atom